Density functional theory data (PBE) for a relaxed structure of In2Ga5Pd12.

Summary:
Total moment: 0.00 μB/f.u.
Calculated formation energy: -0.40 eV per atom

Unit cell a=7.882 b=7.882 c=8.236 alpha=104.23 beta=104.23 gamma=42.25
Positions (direct):
In  0.249  0.751  0.000
In  0.751  0.249  0.000
Ga  0.000  0.000  0.500
Ga  0.303  0.303  0.627
Ga  0.343  0.343  0.149
Ga  0.657  0.657  0.851
Ga  0.697  0.697  0.373
Pd  0.056  0.558  0.888
Pd  0.090  0.090  0.287
Pd  0.097  0.600  0.405
Pd  0.400  0.903  0.595
Pd  0.442  0.944  0.112
Pd  0.486  0.486  0.676
Pd  0.514  0.514  0.324
Pd  0.558  0.056  0.888
Pd  0.600  0.097  0.405
Pd  0.903  0.400  0.595
Pd  0.910  0.910  0.713
Pd  0.944  0.442  0.112